{"formula": "ZnTe2W", "functional": "PBE-GGA", "state": "relaxed", "cell": [[4.9075, 0.0000, 0.0000], [2.4538, 4.2501, 0.0000], [2.4538, 1.4167, 4.0070]], "species": ["Te", "Te", "Zn", "W"], "fractional_positions": [[0.2500, 0.2500, 0.2500], [0.0000, 0.0000, 0.0000], [0.7500, 0.7500, 0.7500], [0.5000, 0.5000, 0.5000]], "formation_energy_uncorrected_ev_per_atom": 1.05, "space_group": "F-43m (216)"}

---

{"formula": "ZnTeW2", "functional": "PBE-GGA", "state": "relaxed", "cell": [[-1.0807, 1.4553, -2.3003], [1.6955, -2.2453, -0.8130], [-7.6839, -5.7842, -0.0496]], "species": ["Zn", "W", "W", "Te"], "fractional_positions": [[0.0000, 0.0000, 0.4631], [0.5000, 0.5000, 0.2387], [0.0000, 0.0000, 0.0286], [0.5000, 0.5000, 0.7695]], "formation_energy_uncorrected_ev_per_atom": 0.55, "space_group": "Cmm2 (35)", "relative_energy_mev_per_atom": 130}

---

{"formula": "ZnTe2W", "functional": "PBE-GGA", "state": "relaxed", "cell": [[3.0806, 0.0199, 0.0000], [-1.0537, 2.8949, 0.0000], [0.0000, 0.0000, 10.2373]], "species": ["Te", "Te", "Zn", "W"], "fractional_positions": [[0.5000, 0.5000, 0.3118], [0.0000, 0.0000, 0.9580], [0.5000, 0.5000, 0.7125], [0.0000, 0.0000, 0.5177]], "formation_energy_uncorrected_ev_per_atom": 0.52, "space_group": "Cmm2 (35)"}

---

| no. | DOS(E_F) (states/eV/cell) | total energy (eV per cell) |
| --- | --- | --- |
| 1 | 3.7 | -16.3 |
| 2 | 3.3 | -28.1 |
| 3 | 2.2 | -18.4 |